Density functional theory data (PBE) for crystalline Th5MgSn4 at its relaxed geometry.

Cell: 9.0619 9.0619 8.3631 Å, 99.97 99.97 26.68°
Fractional coordinates of all 10 atoms:
Th  0.0000  0.0000  0.0000
Th  0.3001  0.3001  0.8705
Th  0.3676  0.3676  0.3006
Th  0.6324  0.6324  0.6994
Th  0.6999  0.6999  0.1295
Mg  0.0000  0.0000  0.5000
Sn  0.1851  0.1851  0.4325
Sn  0.4503  0.4503  0.7032
Sn  0.5497  0.5497  0.2968
Sn  0.8149  0.8149  0.5675

## Properties
**Density**: 9.080 g/cm3
**Uncorrected energy**: -0.20684 hartree per atom
**Calculated formation energy**: -0.158 eV per atom
**N(E_F)**: 9.6 states/eV per cell